Here is an optimized crystal structure of Er2SnIr from the Alexandria database. Energies are from PBE-GGA.

## Properties
Calculated formation energy: -779 meV/atom
Excess energy over the best structure of this formula in the dataset: 0.000 eV per atom
N(E_F): 2.4 states/eV/cell
Total moment: 0.00 μB per formula unit
Symmetry: No. 123
Density: 11.6 g/cm3

Cell: 3.434 3.434 7.851 Å, 90.00 90.00 90.00°
Atoms (fractional coordinates):
Er1 0.000 0.000 0.790
Er2 0.000 0.000 0.210
Sn1 0.500 0.500 0.500
Ir1 0.500 0.500 0.000